Computed, not measured: crystalline ZrGe3Br at its relaxed geometry at the PBE-GGA level of DFT.

calculated total energy	-4.36	eV/atom

Cell: 5.308 5.308 5.308 Å, 90.00 90.00 90.00°
Space group Pm-3m (No. 221)
Symmetry-distinct sites (fractional):
Zr  0.000  0.000  0.000 [1 per cell]
Ge  0.000  0.000  0.500 [3 per cell]
Br  0.500  0.500  0.500 [1 per cell]